Version one
VASP calculation (PBE-GGA) on a geometry-optimized Ba2SrZr structure.

Cell: 6.8483 6.8483 6.8483 Å, 130.70 130.70 72.29°
Fractional coordinates of all 4 atoms:
Ba 0.2500 0.7500 0.5000
Ba 0.0000 0.0000 0.0000
Sr 0.5000 0.5000 0.0000
Zr 0.7500 0.2500 0.5000

The calculation puts the size of the total moment at 2.65 μB per formula unit.


Version two
VASP calculation (PBE-GGA) on a geometry-optimized Ba2SrZr structure.

Cell: 3.9122 3.9122 11.7098 Å, 90.00 90.00 89.98°
Fractional coordinates of all 4 atoms:
Ba 0.0000 0.0000 0.9538
Ba 0.5000 0.5000 0.2522
Sr 0.0000 0.0000 0.5466
Zr 0.5000 0.5000 0.7475

The calculation puts the size of the total moment at 0.00 μB per formula unit.


Most stable one: version two, least stable one: version one.


Version one
VASP calculation (PBE-GGA) on a geometry-optimized Ba2SrZr structure.

Cell: 5.6781 5.6797 5.6797 Å, 90.00 90.00 90.00°
Fractional coordinates of all 4 atoms:
Sr 0.5000 0.5000 0.0000
Zr 0.5000 0.0000 0.5000
Ba 0.0000 0.5000 0.5000
Ba 0.0000 0.0000 0.0000

The calculation puts the size of the total moment at 2.80 μB per formula unit.


Version two
VASP calculation (PBE-GGA) on a geometry-optimized Ba2SrZr structure.

Cell: 3.8927 3.8918 12.3553 Å, 71.62 90.00 90.00°
Fractional coordinates of all 4 atoms:
Ba 0.0000 0.0396 0.9600
Ba 0.0000 0.4604 0.5400
Zr 0.5000 0.7500 0.7500
Sr 0.5000 0.2500 0.2500

The calculation puts the size of the total moment at 0.00 μB per formula unit.


Most stable one: version two, least stable one: version one.


Version one
VASP calculation (PBE-GGA) on a geometry-optimized BaSrZr2 structure.

Cell: 6.5371 6.5371 6.5371 Å, 136.72 136.72 62.87°
Fractional coordinates of all 4 atoms:
Zr 0.0000 0.0000 0.0000
Zr 0.5000 0.5000 0.0000
Sr 0.7500 0.2500 0.5000
Ba 0.2500 0.7500 0.5000

The calculation puts the size of the total moment at 0.00 μB per formula unit.


Version two
VASP calculation (PBE-GGA) on a geometry-optimized BaSrZr2 structure.

Cell: 6.0398 6.0398 3.6160 Å, 90.00 90.00 90.00°
Fractional coordinates of all 4 atoms:
Zr 0.5000 0.5000 0.0000
Zr 0.0000 0.0000 0.0000
Ba 0.5000 0.0000 0.5000
Sr 0.0000 0.5000 0.5000

The calculation puts the size of the total moment at 0.00 μB per formula unit.


Version three
VASP calculation (PBE-GGA) on a geometry-optimized BaSrZr2 structure.

Cell: 12.3296 12.3296 12.3296 Å, 16.24 16.24 16.24°
Fractional coordinates of all 4 atoms:
Zr 0.9998 0.9998 0.9998
Zr 0.5002 0.5002 0.5002
Ba 0.2500 0.2500 0.2500
Sr 0.7500 0.7500 0.7500

The calculation puts the size of the total moment at 0.00 μB per formula unit.


Most stable one: version three, least stable one: version two.


Version one
VASP calculation (PBE-GGA) on a geometry-optimized BaSrZr2 structure.

Cell: 5.3537 5.3537 8.3664 Å, 86.01 86.01 37.69°
Fractional coordinates of all 4 atoms:
Ba 0.4924 0.4924 0.5475
Zr 0.7415 0.7415 0.8276
Zr 0.0070 0.0070 0.9296
Sr 0.2591 0.2591 0.1953

The calculation puts the size of the total moment at 0.00 μB per formula unit.


Version two
VASP calculation (PBE-GGA) on a geometry-optimized BaSrZr2 structure.

Cell: 3.9252 3.9343 10.2834 Å, 67.66 90.00 90.00°
Fractional coordinates of all 4 atoms:
Zr 0.5000 0.3206 0.1796
Zr 0.0000 0.9356 0.0641
Ba 0.0000 0.5576 0.4437
Sr 0.5000 0.6862 0.8126

The calculation puts the size of the total moment at 0.00 μB per formula unit.


Version three
VASP calculation (PBE-GGA) on a geometry-optimized BaSrZr2 structure.

Cell: 7.1099 7.1099 7.1099 Å, 149.73 127.11 62.16°
Fractional coordinates of all 4 atoms:
Sr 0.2288 0.7288 0.5000
Ba 0.5222 0.5222 0.0000
Zr 0.7862 0.2862 0.5000
Zr 0.9628 0.9628 0.0000

The calculation puts the size of the total moment at 1.88 μB per formula unit.


Most stable one: version two, least stable one: version three.


Version one
VASP calculation (PBE-GGA) on a geometry-optimized BaSrZr2 structure.

Cell: 5.5564 4.8306 4.8306 Å, 90.00 90.00 90.00°
Fractional coordinates of all 4 atoms:
Sr 0.5000 0.0000 0.5000
Ba 0.5000 0.5000 0.0000
Zr 0.0000 0.5000 0.5000
Zr 0.0000 0.0000 0.0000

The calculation puts the size of the total moment at 0.00 μB per formula unit.


Version two
VASP calculation (PBE-GGA) on a geometry-optimized BaSrZr2 structure.

Cell: 3.4950 3.4950 11.4303 Å, 90.00 90.00 90.11°
Fractional coordinates of all 4 atoms:
Zr 0.0000 0.0000 0.0396
Zr 0.5000 0.5000 0.2038
Sr 0.5000 0.5000 0.7879
Ba 0.0000 0.0000 0.4687

The calculation puts the size of the total moment at 0.00 μB per formula unit.


Most stable one: version two, least stable one: version one.


Version one
VASP calculation (PBE-GGA) on a geometry-optimized BaSrZr2 structure.

Cell: 6.3561 6.3561 6.5596 Å, 84.20 84.20 30.88°
Fractional coordinates of all 4 atoms:
Zr 0.5019 0.5019 0.4476
Zr 0.9981 0.9981 0.0524
Ba 0.7500 0.7500 0.7500
Sr 0.2500 0.2500 0.2500

The calculation puts the size of the total moment at 0.00 μB per formula unit.


Version two
VASP calculation (PBE-GGA) on a geometry-optimized BaSrZr2 structure.

Cell: 9.1673 9.1673 7.2212 Å, 50.60 50.60 90.00°
Fractional coordinates of all 8 atoms:
Sr 0.2500 0.7500 0.5000
Sr 0.5000 0.5000 0.0000
Ba 0.0000 0.0000 0.0000
Ba 0.7500 0.2500 0.5000
Zr 0.3750 0.3673 0.7500
Zr 0.6327 0.1250 0.2500
Zr 0.8750 0.8827 0.7500
Zr 0.1173 0.6250 0.2500

The calculation puts the size of the total moment at 0.00 μB per formula unit.


Most stable one: version one, least stable one: version two.